Computed, not measured: a relaxed structure of Li2UCl5 at the PBE level of DFT.

Calculated values
Calculated total energy ... -4.76 eV per atom

Cell and atoms, written as POSCAR:
```
Li2UCl5
1.0
-0.623 3.600 1.689
-4.319 1.358 -4.486
-10.976 -6.004 8.749
Li U Cl
4 2 10
Cartesian
-6.507 0.585 1.150
-3.611 -0.429 -0.417
-10.139 -1.402 4.045
-10.955 -4.446 5.436
-6.132 -2.800 3.705
-3.986 2.955 -2.973
-8.716 0.732 0.023
-2.351 0.739 -2.443
-1.402 -0.576 0.710
-7.767 -0.584 3.175
-10.018 -5.289 7.577
-11.076 -0.560 1.904
-4.896 1.623 -0.468
-12.113 -2.325 5.285
-5.222 -1.467 1.201
-8.980 -3.523 4.197
```

Computed, not measured: a relaxed structure of Li3UCl6 at the PBE level of DFT.

Calculated values
Calculated total energy ... -4.51 eV per atom

Cell and atoms, written as POSCAR:
```
Li3UCl6
1.0
-1.883 6.176 1.787
-3.074 -2.517 5.462
8.861 1.214 5.546
Li U Cl
6 2 12
Cartesian
2.806 1.404 10.506
-2.478 1.829 3.625
1.099 3.469 2.289
-1.082 5.100 5.989
4.431 0.607 2.773
4.987 -0.227 6.805
1.952 2.437 6.397
0.000 0.000 0.000
6.502 4.667 7.319
3.513 4.433 5.349
-0.029 3.339 4.630
3.933 1.534 8.165
0.392 0.440 7.445
-2.597 0.206 5.475
2.588 0.623 4.409
-0.535 0.281 2.675
6.094 1.473 5.176
-2.189 3.400 7.618
4.439 4.592 10.120
1.317 4.250 8.386
```

Computed, not measured: a relaxed structure of LiUCl4 at the PBE level of DFT.

Calculated values
Calculated total energy ... -5.15 eV per atom
Excess energy over the best structure of this formula in the dataset ... 0.000 eV per atom

Cell and atoms, written as POSCAR:
```
LiUCl4
1.0
0.212 -6.566 0.405
3.900 -0.154 -5.316
3.404 3.783 6.449
Li U Cl
2 2 8
Cartesian
1.505 -4.820 1.288
6.012 1.884 0.250
3.370 -1.612 -1.557
4.147 -1.324 3.095
5.791 -0.026 -1.241
3.457 -6.146 -3.157
2.965 -0.017 0.777
5.883 0.852 2.452
1.725 -2.911 2.779
4.551 -2.920 0.761
4.060 3.210 4.695
1.634 -3.789 -0.914
```